Entry 1:
Below is a relaxed TlCuSnRu2 crystal, with properties calculated at the PBE level.

DOS(E_F): 1.318 states/eV/atom
total magnetic moment: 2.61 μB/f.u.
energy relative to the lowest polymorph listed for this composition: 0.917 eV per atom
SG: No. 123
E_form: 2.07 eV per atom

Lattice parameters (Å, degrees): 5.041 5.041 5.512 90.00 90.00 90.00
Fractional positions:
Tl 0.000 0.000 0.000
Cu 0.500 0.500 0.500
Sn 0.000 0.000 0.500
Ru 0.000 0.500 0.000
Ru 0.500 0.000 0.000

Entry 2:
Below is a relaxed SmSeI crystal, with properties calculated at the PBE level.

DOS(E_F): 0.000 states/eV/atom
total magnetic moment: 0.00 μB/f.u.
SG: No. 43
raw formation energy: -1.640 eV per atom

Lattice parameters (Å, degrees): 8.418 7.665 9.333 58.39 50.85 70.76
Fractional positions:
Sm 0.162 0.838 0.299
Sm 0.549 0.951 0.412
Sm 0.838 0.162 0.701
Sm 0.951 0.549 0.088
Se 0.128 0.820 0.635
Se 0.615 0.834 0.122
Se 0.820 0.128 0.416
Se 0.834 0.615 0.430
I 0.261 0.344 0.487
I 0.342 0.763 0.906
I 0.344 0.261 0.908
I 0.763 0.342 0.989

Entry 3:
Below is a relaxed AlNiTe2I crystal, with properties calculated at the PBE level.

DOS(E_F): 1.174 states/eV/atom
total magnetic moment: 0.00 μB/f.u.
energy relative to the lowest polymorph listed for this composition: 0.000 eV per atom
SG: No. 123
raw formation energy: 0.317 eV per atom

Lattice parameters (Å, degrees): 5.059 5.059 5.512 90.00 90.00 90.00
Fractional positions:
Al 0.000 0.000 0.000
Ni 0.500 0.500 0.500
Te 0.000 0.500 0.500
Te 0.500 0.000 0.500
I 0.500 0.500 0.000